{"formula": "PtC2", "functional": "GGA-PBE", "state": "optimized geometry", "lattice": [[-1.843, 1.843, 2.649], [1.843, -1.843, 2.649], [1.843, 1.843, -2.649]], "species": ["Pt", "C", "C"], "frac_coords": [[0.000, 0.000, 0.000], [0.378, 0.378, 0.000], [0.622, 0.622, 0.000]], "total_energy_ev_per_atom": -6.83, "formation_energy_kj_per_mol_fu": 385.4, "rho_kg_m3": 10112, "polymorph_energy_mev_per_atom": 1010}